Material: TlVI2F
Method: DFT, PBE with a Hubbard U
State: optimized geometry

Output
Calculated total energy, eV per atom: -4.064
Space-group type: No. 123
Crystal system: tetragonal
M_tot, Bohr magnetons per cell: 3.000

```
TlVI2F
1.0
-5.2276 2.4768 1.3310
-1.8253 -0.8519 -5.5836
-1.5030 -3.7432 1.0625
I Tl F V
2 1 1 1
direct
0.0000 0.5000 0.0000
0.5000 0.0000 0.0000
0.5000 0.5000 0.5000
0.0000 0.0000 0.5000
0.0000 0.0000 0.0000
```